Record 1
# LaHo2Ag (PBE, relaxed)
# Total magnetic moment: 0.00 μB per formula unit
# DOS(E_F): 5.45 states/eV/f.u.
# ΔE_f: 3.2 kcal/mol of atoms
data_LaHo2Ag
_space_group_name_H-M_alt 'P 1'
_space_group_IT_number 1
_cell_length_a 11.705
_cell_length_b 11.705
_cell_length_c 11.705
_cell_angle_alpha 16.88
_cell_angle_beta 16.88
_cell_angle_gamma 16.88
loop_
_space_group_symop_operation_xyz
'x,y,z'
loop_
_atom_site_label
_atom_site_fract_x
_atom_site_fract_y
_atom_site_fract_z
La1 0.000 0.000 0.000
Ho1 0.098 0.098 0.098
Ho2 0.902 0.902 0.902
Ag1 0.500 0.500 0.500

=====

Record 2
# LaHoAg (PBE, relaxed)
# Total magnetic moment: 0.00 μB per formula unit
# DOS(E_F): 4.00 states/eV/f.u.
# ΔE_f: -0.8 kcal/mol of atoms
data_LaHoAg
_space_group_name_H-M_alt 'P 1'
_space_group_IT_number 1
_cell_length_a 5.102
_cell_length_b 5.102
_cell_length_c 3.866
_cell_angle_alpha 90.00
_cell_angle_beta 90.00
_cell_angle_gamma 120.00
loop_
_space_group_symop_operation_xyz
'x,y,z'
loop_
_atom_site_label
_atom_site_fract_x
_atom_site_fract_y
_atom_site_fract_z
La1 0.000 0.000 0.000
Ho1 0.333 0.667 0.514
Ag1 0.667 0.333 0.458

=====

Record 3
# LaHo2Ag (PBE, relaxed)
# Total magnetic moment: 0.00 μB per formula unit
# DOS(E_F): 5.93 states/eV/f.u.
# ΔE_f: 0.6 kcal/mol of atoms
data_LaHo2Ag
_space_group_name_H-M_alt 'P 1'
_space_group_IT_number 1
_cell_length_a 4.803
_cell_length_b 4.803
_cell_length_c 4.964
_cell_angle_alpha 90.00
_cell_angle_beta 90.00
_cell_angle_gamma 90.00
loop_
_space_group_symop_operation_xyz
'x,y,z'
loop_
_atom_site_label
_atom_site_fract_x
_atom_site_fract_y
_atom_site_fract_z
La1 0.000 0.000 0.000
Ho1 0.000 0.500 0.500
Ho2 0.500 0.000 0.500
Ag1 0.500 0.500 0.000

=====

Record 4
# LaHoLuAg (PBE, relaxed)
# Total magnetic moment: 0.00 μB per formula unit
# DOS(E_F): 3.77 states/eV/f.u.
# ΔE_f: 1.1 kcal/mol of atoms
data_LaHoLuAg
_space_group_name_H-M_alt 'P 1'
_space_group_IT_number 1
_cell_length_a 5.440
_cell_length_b 5.440
_cell_length_c 5.440
_cell_angle_alpha 60.00
_cell_angle_beta 60.00
_cell_angle_gamma 60.00
loop_
_space_group_symop_operation_xyz
'x,y,z'
loop_
_atom_site_label
_atom_site_fract_x
_atom_site_fract_y
_atom_site_fract_z
La1 0.000 0.000 0.000
Ho1 0.500 0.500 0.500
Lu1 0.250 0.250 0.250
Ag1 0.750 0.750 0.750

=====

Record 5
# LaHo2MgAg4 (PBE, relaxed)
# Total magnetic moment: 0.00 μB per formula unit
# DOS(E_F): 6.63 states/eV/f.u.
# ΔE_f: -5.9 kcal/mol of atoms
data_LaHo2MgAg4
_space_group_name_H-M_alt 'P 1'
_space_group_IT_number 1
_cell_length_a 9.018
_cell_length_b 9.018
_cell_length_c 9.018
_cell_angle_alpha 32.69
_cell_angle_beta 32.69
_cell_angle_gamma 32.69
loop_
_space_group_symop_operation_xyz
'x,y,z'
loop_
_atom_site_label
_atom_site_fract_x
_atom_site_fract_y
_atom_site_fract_z
La1 0.000 0.000 0.000
Ho1 0.243 0.243 0.243
Ho2 0.757 0.757 0.757
Mg1 0.500 0.500 0.500
Ag1 0.125 0.125 0.125
Ag2 0.388 0.388 0.388
Ag3 0.612 0.612 0.612
Ag4 0.875 0.875 0.875

=====

Record 6
# LaHoMgAg (PBE, relaxed)
# Total magnetic moment: 0.00 μB per formula unit
# DOS(E_F): 4.38 states/eV/f.u.
# ΔE_f: -3.1 kcal/mol of atoms
data_LaHoMgAg
_space_group_name_H-M_alt 'P 1'
_space_group_IT_number 1
_cell_length_a 5.375
_cell_length_b 5.375
_cell_length_c 5.375
_cell_angle_alpha 60.00
_cell_angle_beta 60.00
_cell_angle_gamma 60.00
loop_
_space_group_symop_operation_xyz
'x,y,z'
loop_
_atom_site_label
_atom_site_fract_x
_atom_site_fract_y
_atom_site_fract_z
La1 0.000 0.000 0.000
Ho1 0.500 0.500 0.500
Mg1 0.250 0.250 0.250
Ag1 0.750 0.750 0.750

=====

Record 7
# LaHoMgAg (PBE, relaxed)
# Total magnetic moment: 0.00 μB per formula unit
# DOS(E_F): 3.70 states/eV/f.u.
# ΔE_f: -4.2 kcal/mol of atoms
data_LaHoMgAg
_space_group_name_H-M_alt 'P 1'
_space_group_IT_number 1
_cell_length_a 3.798
_cell_length_b 3.798
_cell_length_c 7.544
_cell_angle_alpha 90.00
_cell_angle_beta 90.00
_cell_angle_gamma 90.00
loop_
_space_group_symop_operation_xyz
'x,y,z'
loop_
_atom_site_label
_atom_site_fract_x
_atom_site_fract_y
_atom_site_fract_z
La1 0.000 0.000 0.000
Ho1 0.000 0.000 0.481
Mg1 0.500 0.500 0.724
Ag1 0.500 0.500 0.273

=====

Record 8
# La2Nd2HoAg5 (PBE, relaxed)
# Total magnetic moment: 0.00 μB per formula unit
# DOS(E_F): 7.54 states/eV/f.u.
# ΔE_f: -2.9 kcal/mol of atoms
data_La2Nd2HoAg5
_space_group_name_H-M_alt 'P 1'
_space_group_IT_number 1
_cell_length_a 11.150
_cell_length_b 11.150
_cell_length_c 4.294
_cell_angle_alpha 90.00
_cell_angle_beta 90.00
_cell_angle_gamma 90.00
loop_
_space_group_symop_operation_xyz
'x,y,z'
loop_
_atom_site_label
_atom_site_fract_x
_atom_site_fract_y
_atom_site_fract_z
La1 0.173 0.327 0.000
La2 0.327 0.827 0.000
La3 0.673 0.173 0.000
La4 0.827 0.673 0.000
Nd1 0.131 0.631 0.000
Nd2 0.369 0.131 0.000
Nd3 0.631 0.869 0.000
Nd4 0.869 0.369 0.000
Ho1 0.000 0.000 0.000
Ho2 0.500 0.500 0.000
Ag1 0.000 0.500 0.500
Ag2 0.060 0.818 0.500
Ag3 0.182 0.060 0.500
Ag4 0.318 0.560 0.500
Ag5 0.440 0.318 0.500
Ag6 0.500 0.000 0.500
Ag7 0.560 0.682 0.500
Ag8 0.682 0.440 0.500
Ag9 0.818 0.940 0.500
Ag10 0.940 0.182 0.500

=====

Record 9
# LaNdHoAg (PBE, relaxed)
# Total magnetic moment: 0.00 μB per formula unit
# DOS(E_F): 3.52 states/eV/f.u.
# ΔE_f: 1.2 kcal/mol of atoms
data_LaNdHoAg
_space_group_name_H-M_alt 'P 1'
_space_group_IT_number 1
_cell_length_a 5.527
_cell_length_b 5.527
_cell_length_c 5.527
_cell_angle_alpha 60.00
_cell_angle_beta 60.00
_cell_angle_gamma 60.00
loop_
_space_group_symop_operation_xyz
'x,y,z'
loop_
_atom_site_label
_atom_site_fract_x
_atom_site_fract_y
_atom_site_fract_z
La1 0.000 0.000 0.000
Nd1 0.500 0.500 0.500
Ho1 0.250 0.250 0.250
Ag1 0.750 0.750 0.750

=====

Record 10
# LaNdHoAg (PBE, relaxed)
# Total magnetic moment: 0.00 μB per formula unit
# DOS(E_F): 5.75 states/eV/f.u.
# ΔE_f: -2.7 kcal/mol of atoms
data_LaNdHoAg
_space_group_name_H-M_alt 'P 1'
_space_group_IT_number 1
_cell_length_a 3.700
_cell_length_b 3.700
_cell_length_c 8.783
_cell_angle_alpha 90.00
_cell_angle_beta 90.00
_cell_angle_gamma 90.00
loop_
_space_group_symop_operation_xyz
'x,y,z'
loop_
_atom_site_label
_atom_site_fract_x
_atom_site_fract_y
_atom_site_fract_z
La1 0.000 0.000 0.000
Nd1 0.500 0.500 0.702
Ho1 0.500 0.500 0.288
Ag1 0.000 0.000 0.477

=====

Record 11
# LaHo2Ag2Pb2 (PBE, relaxed)
# Total magnetic moment: 0.00 μB per formula unit
# DOS(E_F): 3.55 states/eV/f.u.
# ΔE_f: -8.1 kcal/mol of atoms
data_LaHo2Ag2Pb2
_space_group_name_H-M_alt 'P 1'
_space_group_IT_number 1
_cell_length_a 9.310
_cell_length_b 9.310
_cell_length_c 9.310
_cell_angle_alpha 30.92
_cell_angle_beta 30.92
_cell_angle_gamma 30.92
loop_
_space_group_symop_operation_xyz
'x,y,z'
loop_
_atom_site_label
_atom_site_fract_x
_atom_site_fract_y
_atom_site_fract_z
La1 0.000 0.000 0.000
Ho1 0.135 0.135 0.135
Ho2 0.865 0.865 0.865
Ag1 0.444 0.444 0.444
Ag2 0.556 0.556 0.556
Pb1 0.263 0.263 0.263
Pb2 0.737 0.737 0.737

=====

Record 12
# LaPmHoAg (PBE, relaxed)
# Total magnetic moment: 0.00 μB per formula unit
# DOS(E_F): 5.77 states/eV/f.u.
# ΔE_f: -2.8 kcal/mol of atoms
data_LaPmHoAg
_space_group_name_H-M_alt 'P 1'
_space_group_IT_number 1
_cell_length_a 3.691
_cell_length_b 3.691
_cell_length_c 8.758
_cell_angle_alpha 90.00
_cell_angle_beta 90.00
_cell_angle_gamma 90.00
loop_
_space_group_symop_operation_xyz
'x,y,z'
loop_
_atom_site_label
_atom_site_fract_x
_atom_site_fract_y
_atom_site_fract_z
La1 0.000 0.000 0.000
Pm1 0.500 0.500 0.703
Ho1 0.500 0.500 0.290
Ag1 0.000 0.000 0.481

=====

Q: Which formula does entry 11 have?
A: LaHo2Ag2Pb2